{"formula": "TbMgZnAg", "functional": "GGA-PBE", "state": "relaxed", "dft_energy_ev_per_atom": -2.90, "space_group": "No. 216", "cell": [[0.0000, 3.4648, 3.4648], [3.4648, 0.0000, 3.4648], [3.4648, 3.4648, 0.0000]], "species": ["Tb", "Mg", "Zn", "Ag"], "fractional_positions": [[0.0000, 0.0000, 0.0000], [0.5000, 0.5000, 0.5000], [0.7500, 0.7500, 0.7500], [0.2500, 0.2500, 0.2500]]}